A crystal of SrTl2Ag2 relaxed with PBEsol, computed with meta-GGA SCAN.

Energy = -230.65 eV per cell
Fermi-level density of states = 1.994 states/eV/f.u.
Space-group type = I4/mmm (139)
Magnetization = 0.000 μB per atom
Mass density = 9.0 g cm⁻³
Energy of formation = -185 meV/atom

a = 6.3057 Å, b = 6.3057 Å, c = 6.3057 Å
α = 133.04°, β = 133.04°, γ = 68.59°
Atoms (fractional coordinates):
Sr 0.0000 0.0000 0.0000
Tl 0.3629 0.3629 0.0000
Tl 0.6371 0.6371 0.0000
Ag 0.2500 0.7500 0.5000
Ag 0.7500 0.2500 0.5000

A crystal of SrTl2Ag relaxed with PBEsol, computed with meta-GGA SCAN.

Energy = -199.35 eV per cell
Fermi-level density of states = 1.493 states/eV/f.u.
Space-group type = Immm (71)
Magnetization = 0.000 μB per atom
Mass density = 9.3 g cm⁻³
Energy of formation = -247 meV/atom

a = 5.9284 Å, b = 5.9284 Å, c = 5.9284 Å
α = 140.35°, β = 124.68°, γ = 70.19°
Atoms (fractional coordinates):
Sr 0.0000 0.0000 0.0000
Tl 0.2813 0.7813 0.5000
Tl 0.7187 0.2187 0.5000
Ag 0.5000 0.5000 0.0000

A crystal of SrTl2Ag relaxed with PBEsol, computed with meta-GGA SCAN.

Energy = -199.19 eV per cell
Fermi-level density of states = 2.015 states/eV/f.u.
Space-group type = Amm2 (38)
Magnetization = 0.000 μB per atom
Mass density = 9.1 g cm⁻³
Energy of formation = -208 meV/atom

a = 4.6223 Å, b = 6.4932 Å, c = 6.4932 Å
α = 34.61°, β = 90.00°, γ = 90.00°
Atoms (fractional coordinates):
Sr 0.0000 0.0000 0.0000
Tl 0.0000 0.7327 0.7327
Tl 0.5000 0.3383 0.3383
Ag 0.5000 0.5986 0.5986

A crystal of SrTl2Ag relaxed with PBEsol, computed with meta-GGA SCAN.

Energy = -199.60 eV per cell
Fermi-level density of states = 1.511 states/eV/f.u.
Space-group type = R-3m (166)
Magnetization = 0.000 μB per atom
Mass density = 9.1 g cm⁻³
Energy of formation = -309 meV/atom

a = 6.2628 Å, b = 6.2628 Å, c = 6.2628 Å
α = 44.74°, β = 44.74°, γ = 44.74°
Atoms (fractional coordinates):
Sr 0.0000 0.0000 0.0000
Tl 0.2207 0.2207 0.2207
Tl 0.7793 0.7793 0.7793
Ag 0.5000 0.5000 0.5000

A crystal of Sr3TlAg relaxed with PBEsol, computed with meta-GGA SCAN.

Energy = -170.35 eV per cell
Fermi-level density of states = 3.378 states/eV/f.u.
Space-group type = Pm-3m (221)
Magnetization = 0.000 μB per atom
Mass density = 4.0 g cm⁻³
Energy of formation = 41 meV/atom

a = 6.2083 Å, b = 6.2083 Å, c = 6.2083 Å
α = 90.00°, β = 90.00°, γ = 90.00°
Atoms (fractional coordinates):
Sr 0.0000 0.0000 0.5000
Sr 0.0000 0.5000 0.0000
Sr 0.5000 0.0000 0.0000
Tl 0.0000 0.0000 0.0000
Ag 0.5000 0.5000 0.5000

A crystal of SrTl2Ag relaxed with PBEsol, computed with meta-GGA SCAN.

Energy = -199.33 eV per cell
Fermi-level density of states = 2.014 states/eV/f.u.
Space-group type = P2/m (10)
Magnetization = 0.000 μB per atom
Mass density = 9.2 g cm⁻³
Energy of formation = -242 meV/atom

a = 3.8044 Å, b = 4.8365 Å, c = 6.0582 Å
α = 90.00°, β = 101.94°, γ = 90.00°
Atoms (fractional coordinates):
Sr 0.0000 0.0000 0.0000
Tl 0.3467 0.5000 0.7194
Tl 0.6533 0.5000 0.2806
Ag 0.5000 0.0000 0.5000